Here is a geometry-optimized CuReOF2 structure from the Alexandria database. Energies are from PBE-GGA.

The structure in CIF format:
```
data_CuReOF2
_chemical_formula_sum 'Cu1 Re1 O1 F2'
_cell_length_a 4.215
_cell_length_b 4.215
_cell_length_c 3.779
_cell_angle_alpha 90.00
_cell_angle_beta 90.00
_cell_angle_gamma 90.00
_symmetry_space_group_name_H-M 'P 4/m m m'
_symmetry_Int_Tables_number 123
_symmetry_space_group_name_Hall '-P 4 2'
loop_
_atom_site_label
_atom_site_type_symbol
_atom_site_fract_x
_atom_site_fract_y
_atom_site_fract_z
Cu1 Cu 0.000 0.000 0.000
Re1 Re 0.500 0.500 0.500
O1 O 0.500 0.500 0.000
F1 F 0.000 0.500 0.500
```

Properties
raw formation energy	-651	meV per atom
uncorrected energy	-28.50	eV per cell
spin magnetization	0.0	μB/f.u.
density of states at the Fermi level	2.97	states/eV per cell

---

Here is a geometry-optimized Tb4Ho5Sc2 structure from the Alexandria database. Energies are from PBE-GGA.

The structure in CIF format:
```
data_Tb4Ho5Sc2
_chemical_formula_sum 'Tb8 Ho10 Sc4'
_cell_length_a 3.440
_cell_length_b 9.050
_cell_length_c 22.350
_cell_angle_alpha 90.00
_cell_angle_beta 90.00
_cell_angle_gamma 90.00
_symmetry_space_group_name_H-M 'I m m m'
_symmetry_Int_Tables_number 71
_symmetry_space_group_name_Hall '-I 2 2'
loop_
_atom_site_label
_atom_site_type_symbol
_atom_site_fract_x
_atom_site_fract_y
_atom_site_fract_z
Tb1 Tb 0.000 0.000 0.099
Tb2 Tb 0.000 0.304 0.500
Ho1 Ho 0.000 0.203 0.348
Ho2 Ho 0.000 0.500 0.000
Sc1 Sc 0.000 0.000 0.230
```

Properties
energy of formation	278	meV/atom
uncorrected energy	-102.03	eV per cell
spin magnetization	0.0	μB/f.u.
density of states at the Fermi level	34.37	states/eV per cell

---

Here is a geometry-optimized TcN structure from the Alexandria database. Energies are from PBE-GGA.

The structure in CIF format:
```
data_TcN
_chemical_formula_sum 'Tc2 N2'
_cell_length_a 2.849
_cell_length_b 3.346
_cell_length_c 4.241
_cell_angle_alpha 90.00
_cell_angle_beta 92.24
_cell_angle_gamma 90.00
_symmetry_space_group_name_H-M 'P 1 21/m 1'
_symmetry_Int_Tables_number 11
loop_
_symmetry_equiv_pos_as_xyz
'x,y,z'
'-x,-y,-z'
'-x,y+1/2,-z'
'x,-y+1/2,z'
loop_
_atom_site_label
_atom_site_type_symbol
_atom_site_fract_x
_atom_site_fract_y
_atom_site_fract_z
Tc1 Tc 0.157 0.250 0.284
N1 N 0.283 0.250 0.772
```

Properties
raw formation energy	349	meV per atom
uncorrected energy	-35.99	eV per cell
spin magnetization	0.0	μB/f.u.
density of states at the Fermi level	2.15	states/eV per cell

---

Here is a geometry-optimized ScVTcSn structure from the Alexandria database. Energies are from PBE-GGA.

The structure in CIF format:
```
data_ScVTcSn
_chemical_formula_sum 'Sc4 V4 Tc4 Sn4'
_cell_length_a 6.490
_cell_length_b 6.490
_cell_length_c 6.490
_cell_angle_alpha 90.00
_cell_angle_beta 90.00
_cell_angle_gamma 90.00
_symmetry_space_group_name_H-M 'F -4 3 m'
_symmetry_Int_Tables_number 216
_symmetry_space_group_name_Hall 'F -4 2 3'
loop_
_atom_site_label
_atom_site_type_symbol
_atom_site_fract_x
_atom_site_fract_y
_atom_site_fract_z
Sc1 Sc 0.000 0.000 0.000
V1 V 0.250 0.250 0.250
Tc1 Tc 0.000 0.000 0.500
Sn1 Sn 0.250 0.250 0.750
```

Properties
energy of formation	-146	meV/atom
uncorrected energy	-121.61	eV per cell
spin magnetization	0.0	μB/f.u.
density of states at the Fermi level	13.38	states/eV per cell

---

Repeat the third record exactly.
Here is a geometry-optimized TcN structure from the Alexandria database. Energies are from PBE-GGA.

The structure in CIF format:
```
data_TcN
_chemical_formula_sum 'Tc2 N2'
_cell_length_a 2.849
_cell_length_b 3.346
_cell_length_c 4.241
_cell_angle_alpha 90.00
_cell_angle_beta 92.24
_cell_angle_gamma 90.00
_symmetry_space_group_name_H-M 'P 1 21/m 1'
_symmetry_Int_Tables_number 11
loop_
_symmetry_equiv_pos_as_xyz
'x,y,z'
'-x,-y,-z'
'-x,y+1/2,-z'
'x,-y+1/2,z'
loop_
_atom_site_label
_atom_site_type_symbol
_atom_site_fract_x
_atom_site_fract_y
_atom_site_fract_z
Tc1 Tc 0.157 0.250 0.284
N1 N 0.283 0.250 0.772
```

Properties
raw formation energy	349	meV per atom
uncorrected energy	-35.99	eV per cell
spin magnetization	0.0	μB/f.u.
density of states at the Fermi level	2.15	states/eV per cell